# 1
Material: KCeHgBi
Method: DFT, PBE
State: optimized geometry

Lattice parameters (Å, degrees): 5.679 5.679 5.679 60.00 60.00 60.00
Site moments in Bohr magnetons follow the coordinates.
Element x y z (fractional)
K: 0.750 0.750 0.750  0.01
Bi: 0.500 0.500 0.500  -0.04
Ce: 0.250 0.250 0.250  1.22
Hg: 0.000 0.000 0.000  0.06

Density of states at the Fermi level, states/eV per cell: 9.41
Total magnetic moment, μB per atom: 0.424
Crystal system: cubic
Energy of formation from the pure elements, kcal/mol of atoms: -7.25

# 2
Material: CaCr2Au
Method: DFT, PBE
State: optimized geometry

Lattice parameters (Å, degrees): 3.641 3.641 6.205 90.00 90.00 90.00
Site moments in Bohr magnetons follow the coordinates.
Element x y z (fractional)
Cr: 0.000 0.000 0.103  0.37
Cr: 0.000 0.000 0.397  0.37
Ca: 0.500 0.500 0.750  0.02
Au: 0.500 0.500 0.250  0.00

Density of states at the Fermi level, states/eV per cell: 4.27
Total magnetic moment, μB per atom: 0.221
Crystal system: tetragonal
Energy of formation from the pure elements, kcal/mol of atoms: 12.17
ΔE to the lowest computed polymorph, kJ/mol of atoms: 38.0

# 3
Material: Sc2OsPb
Method: DFT, PBE
State: optimized geometry

Lattice parameters (Å, degrees): 7.725 7.725 6.247 51.81 51.81 90.00
Element x y z (fractional)
Pb: 0.000 0.000 0.000
Pb: 0.750 0.250 0.500
Sc: 0.566 0.125 0.250
Sc: 0.184 0.625 0.250
Sc: 0.375 0.434 0.750
Sc: 0.875 0.816 0.750
Os: 0.500 0.500 0.000
Os: 0.250 0.750 0.500

Density of states at the Fermi level, states/eV per cell: 5.22
Total magnetic moment, μB per atom: 0.000
Crystal system: tetragonal
Energy of formation from the pure elements, kcal/mol of atoms: 2.86

# 4
Material: PdCl2O
Method: DFT, PBE
State: optimized geometry

Lattice parameters (Å, degrees): 4.462 4.462 4.462 60.00 60.00 60.00
Site moments in Bohr magnetons follow the coordinates.
Element x y z (fractional)
O: 0.000 0.000 0.000  -1.24
Pd: 0.500 0.500 0.500  0.42
Cl: 0.250 0.250 0.250  -0.02
Cl: 0.750 0.750 0.750  -0.02

Density of states at the Fermi level, states/eV per cell: 5.80
Total magnetic moment, μB per atom: 0.272
Crystal system: cubic
DFT total energy, Ry/atom: -0.1999

# 5
Material: Pu2NbVN5
Method: DFT, PBE
State: optimized geometry

Lattice parameters (Å, degrees): 3.247 6.755 10.066 90.00 90.00 103.91
Site moments in Bohr magnetons follow the coordinates.
Element x y z (fractional)
Pu: 0.856 0.712 0.795  -4.39
Pu: 0.109 0.219 0.695  4.53
Pu: 0.144 0.288 0.295  -4.39
Pu: 0.891 0.781 0.195  4.53
Nb: 0.786 0.572 0.507  -0.04
Nb: 0.214 0.428 0.007  -0.04
V: 0.520 0.041 0.965  0.13
V: 0.480 0.959 0.465  0.13
N: 0.372 0.743 0.999  -0.01
N: 0.678 0.356 0.869  -0.02
N: 0.489 0.978 0.784  0.01
N: 0.284 0.568 0.654  0.04
N: 0.953 0.905 0.555  -0.01
N: 0.628 0.257 0.499  -0.01
N: 0.322 0.644 0.369  -0.02
N: 0.511 0.022 0.284  0.01
N: 0.716 0.432 0.154  0.04
N: 0.047 0.095 0.055  -0.01

Density of states at the Fermi level, states/eV per cell: 27.46
Total magnetic moment, μB per atom: 0.030
Crystal system: orthorhombic
DFT total energy, Ry/atom: -0.8122

# 6
Material: TlOs2Pt
Method: DFT, PBE
State: optimized geometry

Lattice parameters (Å, degrees): 4.943 4.943 2.875 90.00 90.00 110.24
Element x y z (fractional)
Os: 0.000 0.000 0.000
Os: 0.500 0.500 0.000
Pt: 0.500 0.000 0.500
Tl: 0.000 0.500 0.500

Density of states at the Fermi level, states/eV per cell: 5.62
Total magnetic moment, μB per atom: 0.000
Crystal system: orthorhombic
Energy of formation from the pure elements, kcal/mol of atoms: 20.11
ΔE to the lowest computed polymorph, kJ/mol of atoms: 46.9

# 7
Material: BaCrCd3
Method: DFT, PBE
State: optimized geometry

Lattice parameters (Å, degrees): 5.352 5.352 5.352 90.00 90.00 90.00
Site moments in Bohr magnetons follow the coordinates.
Element x y z (fractional)
Cr: 0.000 0.000 0.000  3.63
Ba: 0.500 0.500 0.500  -0.08
Cd: 0.000 0.500 0.000  0.02
Cd: 0.000 0.000 0.500  0.02
Cd: 0.500 0.000 0.000  0.02

Density of states at the Fermi level, states/eV per cell: 3.50
Total magnetic moment, μB per atom: 0.755
Crystal system: cubic
Energy of formation from the pure elements, kcal/mol of atoms: 3.02
ΔE to the lowest computed polymorph, kJ/mol of atoms: 0.0

# 8
Material: Sr2Ge3Au2
Method: DFT, PBE
State: optimized geometry

Lattice parameters (Å, degrees): 4.670 7.222 10.101 90.00 103.37 90.00
Element x y z (fractional)
Sr: 0.160 0.250 0.319
Sr: 0.840 0.750 0.681
Sr: 0.940 0.250 0.880
Sr: 0.060 0.750 0.120
Ge: 0.227 0.750 0.454
Ge: 0.773 0.250 0.546
Ge: 0.557 0.423 0.113
Ge: 0.443 0.577 0.887
Ge: 0.443 0.923 0.887
Ge: 0.557 0.077 0.113
Au: 0.683 0.946 0.367
Au: 0.317 0.054 0.633
Au: 0.317 0.446 0.633
Au: 0.683 0.554 0.367

Density of states at the Fermi level, states/eV per cell: 4.98
Total magnetic moment, μB per atom: 0.000
Crystal system: orthorhombic
Energy of formation from the pure elements, kcal/mol of atoms: -12.62
ΔE to the lowest computed polymorph, kJ/mol of atoms: 0.0

# 9
Material: Rb2Tl3Sb2
Method: DFT, PBE
State: optimized geometry

Lattice parameters (Å, degrees): 4.914 7.075 8.833 110.44 90.00 110.32
Element x y z (fractional)
Rb: 0.865 0.729 0.222
Rb: 0.135 0.271 0.778
Tl: 0.500 0.000 0.000
Tl: 0.625 0.251 0.445
Tl: 0.375 0.749 0.555
Sb: 0.844 0.688 0.761
Sb: 0.156 0.312 0.239

Density of states at the Fermi level, states/eV per cell: 3.23
Total magnetic moment, μB per atom: 0.000
Crystal system: monoclinic
DFT total energy, Ry/atom: -0.1967

# 10
Material: Ac3PmPr2
Method: DFT, PBE
State: optimized geometry

Lattice parameters (Å, degrees): 7.232 9.494 7.232 82.34 83.59 97.66
Element x y z (fractional)
Ac: 0.559 0.250 0.559
Ac: 0.441 0.750 0.441
Ac: 0.133 0.979 0.703
Ac: 0.703 0.521 0.133
Ac: 0.297 0.479 0.867
Ac: 0.867 0.021 0.297
Pm: 0.119 0.750 0.119
Pm: 0.881 0.250 0.881
Pr: 0.881 0.619 0.616
Pr: 0.384 0.119 0.119
Pr: 0.616 0.881 0.881
Pr: 0.119 0.381 0.384

Density of states at the Fermi level, states/eV per cell: 16.63
Total magnetic moment, μB per atom: 0.000
Crystal system: monoclinic
Energy of formation from the pure elements, kcal/mol of atoms: 2.20
ΔE to the lowest computed polymorph, kJ/mol of atoms: 6.4

# 11
Material: AgAs2Se
Method: DFT, PBE
State: optimized geometry

Lattice parameters (Å, degrees): 5.474 3.883 3.883 90.00 90.00 90.00
Element x y z (fractional)
As: 0.000 0.000 0.000
As: 0.000 0.500 0.500
Se: 0.500 0.500 0.000
Ag: 0.500 0.000 0.500

Density of states at the Fermi level, states/eV per cell: 2.41
Total magnetic moment, μB per atom: 0.000
Crystal system: tetragonal
DFT total energy, Ry/atom: -0.2595

# 12
Material: Li24Ir5
Method: DFT, PBE
State: optimized geometry

Lattice parameters (Å, degrees): 8.189 8.189 8.189 109.47 109.47 109.47
Element x y z (fractional)
Ir: 0.000 0.000 0.333
Ir: 0.000 0.333 0.000
Ir: 0.667 0.667 0.667
Ir: 0.333 0.000 0.000
Ir: 0.000 0.000 0.000
Li: 0.000 0.815 0.639
Li: 0.000 0.639 0.815
Li: 0.176 0.361 0.361
Li: 0.824 0.185 0.185
Li: 0.815 0.000 0.639
Li: 0.639 0.000 0.815
Li: 0.185 0.824 0.185
Li: 0.361 0.176 0.361
Li: 0.185 0.185 0.824
Li: 0.361 0.361 0.176
Li: 0.639 0.815 0.000
Li: 0.815 0.639 0.000
Li: 0.000 0.290 0.587
Li: 0.000 0.587 0.290
Li: 0.702 0.413 0.413
Li: 0.298 0.710 0.710
Li: 0.290 0.000 0.587
Li: 0.587 0.000 0.290
Li: 0.710 0.298 0.710
Li: 0.413 0.702 0.413
Li: 0.710 0.710 0.298
Li: 0.413 0.413 0.702
Li: 0.587 0.290 0.000
Li: 0.290 0.587 0.000

Density of states at the Fermi level, states/eV per cell: 15.58
Total magnetic moment, μB per atom: 0.000
Crystal system: cubic
Energy of formation from the pure elements, kcal/mol of atoms: -0.06